This record from Alexandria describes a relaxed structure of InSn2F. The functional is PBE.

Values from the calculation:
- VASP energy: -59.17 eV for the cell shown
- Magnetization: 0.00 μB per formula unit
- Energy relative to the lowest polymorph listed for this composition: 0.0199 eV/atom
- Uncorrected formation energy: -0.54 eV/atom

```
data_InSn2F
_chemical_formula_sum 'In4 Sn8 F4'
_cell_length_a 5.165
_cell_length_b 5.165
_cell_length_c 16.400
_cell_angle_alpha 90.00
_cell_angle_beta 90.00
_cell_angle_gamma 90.00
_space_group_name_H-M_alt 'I -4 2 d'
_space_group_IT_number 122
_space_group_name_Hall 'I -4 2bw'
loop_
_atom_site_label
_atom_site_type_symbol
_atom_site_fract_x
_atom_site_fract_y
_atom_site_fract_z
_atom_site_occupancy
In1 In 0.000 0.000 0.000 1
Sn1 Sn 0.152 0.250 0.625 1
F1 F 0.000 0.000 0.500 1
```